1.
TiGeTe2I: relaxed, GGA-PBE.

Output
- Energy: -3.920 eV/atom
- Formation energy (no corrections): 0.15 eV/atom

CIF file:
```
data_TiGeTe2I
_symmetry_space_group_name_H-M 'P 4/m m m'
_symmetry_Int_Tables_number 123
_symmetry_space_group_name_Hall '-P 4 2'
_cell_length_a 5.345
_cell_length_b 5.345
_cell_length_c 5.571
_cell_angle_alpha 90.00
_cell_angle_beta 90.00
_cell_angle_gamma 90.00
loop_
_atom_site_label
_atom_site_type_symbol
_atom_site_fract_x
_atom_site_fract_y
_atom_site_fract_z
Ti1 Ti 0.000 0.000 0.000
Ge1 Ge 0.500 0.500 0.500
Te1 Te 0.000 0.500 0.000
I1 I 0.000 0.000 0.500
```

=====

2.
NaLiBe2C: relaxed, GGA-PBE.

Output
- Energy: -1.495 eV/atom
- Energy relative to the elements: 12.4 eV per formula unit

CIF file:
```
data_NaLiBe2C
_symmetry_space_group_name_H-M 'P 4/m m m'
_symmetry_Int_Tables_number 123
_symmetry_space_group_name_Hall '-P 4 2'
_cell_length_a 4.431
_cell_length_b 4.431
_cell_length_c 4.230
_cell_angle_alpha 90.00
_cell_angle_beta 90.00
_cell_angle_gamma 90.00
loop_
_atom_site_label
_atom_site_type_symbol
_atom_site_fract_x
_atom_site_fract_y
_atom_site_fract_z
Na1 Na 0.000 0.000 0.000
Li1 Li 0.000 0.000 0.500
Be1 Be 0.000 0.500 0.000
C1 C 0.500 0.500 0.500
```

=====

3.
GeSbC2: relaxed, GGA-PBE.

Output
- Energy: -4.609 eV/atom
- Formation energy (no corrections): 2.19 eV/atom

CIF file:
```
data_GeSbC2
_symmetry_space_group_name_H-M 'F m -3 m'
_symmetry_Int_Tables_number 225
_symmetry_space_group_name_Hall '-F 4 2 3'
_cell_length_a 5.999
_cell_length_b 5.999
_cell_length_c 5.999
_cell_angle_alpha 90.00
_cell_angle_beta 90.00
_cell_angle_gamma 90.00
loop_
_atom_site_label
_atom_site_type_symbol
_atom_site_fract_x
_atom_site_fract_y
_atom_site_fract_z
Ge1 Ge 0.000 0.000 0.000
Sb1 Sb 0.000 0.000 0.500
C1 C 0.250 0.250 0.250
```

=====

4.
SiP2RuN: relaxed, GGA-PBE.

Output
- Energy: -6.888 eV/atom
- Formation energy (no corrections): -0.12 eV/atom

CIF file:
```
data_SiP2RuN
_symmetry_space_group_name_H-M 'A m m 2'
_symmetry_Int_Tables_number 38
_cell_length_a 2.933
_cell_length_b 3.795
_cell_length_c 12.757
_cell_angle_alpha 90.00
_cell_angle_beta 90.00
_cell_angle_gamma 90.00
loop_
_symmetry_equiv_pos_as_xyz
'x,y,z'
'-x,-y,z'
'-x,y,z'
'x,-y,z'
'x,y+1/2,z+1/2'
'-x,-y+1/2,z+1/2'
'-x,y+1/2,z+1/2'
'x,-y+1/2,z+1/2'
loop_
_atom_site_label
_atom_site_type_symbol
_atom_site_fract_x
_atom_site_fract_y
_atom_site_fract_z
Si1 Si 0.000 0.000 0.000
P1 P 0.000 0.000 0.390
P2 P 0.000 0.000 0.700
Ru1 Ru 0.500 0.000 0.249
N1 N 0.500 0.000 0.068
```

=====

5.
Mo4As: relaxed, GGA-PBE.

Output
- Energy: -8.494 eV/atom
- Energy relative to the elements: 5.5 eV per formula unit

CIF file:
```
data_Mo4As
_symmetry_space_group_name_H-M 'I m -3 m'
_symmetry_Int_Tables_number 229
_symmetry_space_group_name_Hall '-I 4 2 3'
_cell_length_a 5.708
_cell_length_b 5.708
_cell_length_c 5.708
_cell_angle_alpha 90.00
_cell_angle_beta 90.00
_cell_angle_gamma 90.00
loop_
_atom_site_label
_atom_site_type_symbol
_atom_site_fract_x
_atom_site_fract_y
_atom_site_fract_z
Mo1 Mo 0.250 0.250 0.250
As1 As 0.000 0.000 0.000
```

=====

6.
TaZnRe2: relaxed, GGA-PBE.

Output
- Energy: -9.299 eV/atom
- Energy relative to the elements: 0.8 eV per formula unit

CIF file:
```
data_TaZnRe2
_symmetry_space_group_name_H-M 'F -4 3 m'
_symmetry_Int_Tables_number 216
_symmetry_space_group_name_Hall 'F -4 2 3'
_cell_length_a 6.295
_cell_length_b 6.295
_cell_length_c 6.295
_cell_angle_alpha 90.00
_cell_angle_beta 90.00
_cell_angle_gamma 90.00
loop_
_atom_site_label
_atom_site_type_symbol
_atom_site_fract_x
_atom_site_fract_y
_atom_site_fract_z
Ta1 Ta 0.000 0.000 0.000
Zn1 Zn 0.250 0.250 0.750
Re1 Re 0.000 0.000 0.500
Re2 Re 0.250 0.250 0.250
```

=====

7.
KHfCl2: relaxed, GGA-PBE.

Output
- Energy: -3.969 eV/atom
- Formation energy (no corrections): -0.28 eV/atom

CIF file:
```
data_KHfCl2
_symmetry_space_group_name_H-M 'F m -3 m'
_symmetry_Int_Tables_number 225
_symmetry_space_group_name_Hall '-F 4 2 3'
_cell_length_a 7.390
_cell_length_b 7.390
_cell_length_c 7.390
_cell_angle_alpha 90.00
_cell_angle_beta 90.00
_cell_angle_gamma 90.00
loop_
_atom_site_label
_atom_site_type_symbol
_atom_site_fract_x
_atom_site_fract_y
_atom_site_fract_z
K1 K 0.000 0.000 0.000
Hf1 Hf 0.000 0.000 0.500
Cl1 Cl 0.250 0.250 0.250
```

=====

8.
SiMoPb2: relaxed, GGA-PBE.

Output
- Energy: -5.102 eV/atom
- Formation energy (no corrections): 0.82 eV/atom

CIF file:
```
data_SiMoPb2
_symmetry_space_group_name_H-M 'I m m m'
_symmetry_Int_Tables_number 71
_symmetry_space_group_name_Hall '-I 2 2'
_cell_length_a 3.734
_cell_length_b 5.110
_cell_length_c 8.928
_cell_angle_alpha 90.00
_cell_angle_beta 90.00
_cell_angle_gamma 90.00
loop_
_atom_site_label
_atom_site_type_symbol
_atom_site_fract_x
_atom_site_fract_y
_atom_site_fract_z
Si1 Si 0.000 0.000 0.000
Mo1 Mo 0.000 0.000 0.500
Pb1 Pb 0.000 0.500 0.258
```

=====

The volume results, record by record, are as follows: 159, 83, 216, 142, 186, 249, 404, 170 Å³/cell.